Below is a geometry-optimized Ti6Al2Pd structure, with properties calculated at the PBE-GGA level.

Values from the calculation:
ΔE_f   0.18 eV per atom
Total moment   0.0 μB per formula unit

a b c (Å): 7.5185 7.5185 4.2385
angles (deg): 106.28 106.28 49.45
With the nearest neighbours (Å) after each atom.
Fractional positions:
Ti (0.0786, 0.5902, 0.3352)  1 Pd 2.64, 3 Al 2.66-2.68
Ti (0.2487, 0.7513, 0.0000)  2 Pd 2.63, 2 Al 2.67
Ti (0.4098, 0.9214, 0.6648)  1 Pd 2.64, 3 Al 2.66-2.68
Ti (0.5902, 0.0786, 0.3352)  1 Pd 2.64, 3 Al 2.66-2.68
Ti (0.7513, 0.2487, 0.0000)  2 Pd 2.63, 2 Al 2.67
Ti (0.9214, 0.4098, 0.6648)  1 Pd 2.64, 3 Al 2.66-2.68
Al (0.3343, 0.3343, 0.8352)  8 Ti 2.66-2.68
Al (0.6657, 0.6657, 0.1648)  8 Ti 2.66-2.68
Pd (0.0000, 0.0000, 0.5000)  8 Ti 2.63-2.64

---

Below is a geometry-optimized TiAl2Pd5 structure, with properties calculated at the PBE-GGA level.

Values from the calculation:
ΔE_f   -0.72 eV per atom
Total moment   0.0 μB per formula unit

a b c (Å): 5.5184 10.8906 4.0138
angles (deg): 90.00 90.00 90.00
With the nearest neighbours (Å) after each atom.
Fractional positions:
Ti (0.0000, 0.0000, 0.0000)  8 Pd 2.58-2.76
Ti (0.5000, 0.5000, 0.0000)  8 Pd 2.58-2.76
Al (0.1792, 0.3586, 0.5000)  10 Pd 2.64-2.92
Al (0.3208, 0.8586, 0.5000)  10 Pd 2.64-2.92
Al (0.6792, 0.1414, 0.5000)  10 Pd 2.64-2.92
Al (0.8208, 0.6414, 0.5000)  10 Pd 2.64-2.92
Pd (0.0000, 0.5000, 0.0000)  4 Al 2.72, 2 Ti 2.76, 6 Pd 2.85-2.91
Pd (0.0659, 0.7650, 0.0000)  1 Ti 2.58, 4 Al 2.65-2.77, 4 Pd 2.78-2.85
Pd (0.2056, 0.1104, 0.5000)  2 Ti 2.60, 3 Al 2.64-2.81, 6 Pd 2.85-2.91
Pd (0.2944, 0.6104, 0.5000)  2 Ti 2.60, 3 Al 2.64-2.81, 6 Pd 2.85-2.91
Pd (0.4341, 0.2650, 0.0000)  1 Ti 2.58, 4 Al 2.65-2.77, 4 Pd 2.78-2.85
Pd (0.5000, 0.0000, 0.0000)  4 Al 2.72, 2 Ti 2.76, 6 Pd 2.85-2.91
Pd (0.5659, 0.7350, 0.0000)  1 Ti 2.58, 4 Al 2.65-2.77, 4 Pd 2.78-2.85
Pd (0.7056, 0.3896, 0.5000)  2 Ti 2.60, 3 Al 2.64-2.81, 6 Pd 2.85-2.91
Pd (0.7944, 0.8896, 0.5000)  2 Ti 2.60, 3 Al 2.64-2.81, 6 Pd 2.85-2.91
Pd (0.9341, 0.2350, 0.0000)  1 Ti 2.58, 4 Al 2.65-2.77, 4 Pd 2.78-2.85

---

Below is a geometry-optimized TiAl4Pd5 structure, with properties calculated at the PBE-GGA level.

Values from the calculation:
ΔE_f   -0.80 eV per atom
Total moment   0.8 μB per formula unit

a b c (Å): 3.0596 3.0596 15.8406
angles (deg): 90.00 90.00 90.00
With the nearest neighbours (Å) after each atom.
Fractional positions:
Ti (0.0000, 0.0000, 0.0000)  8 Pd 2.82, 4 Ti 3.06
Al (0.0000, 0.0000, 0.2080)  8 Pd 2.63-2.67
Al (0.0000, 0.0000, 0.4033)  8 Pd 2.65
Al (0.0000, 0.0000, 0.5967)  8 Pd 2.65
Al (0.0000, 0.0000, 0.7920)  8 Pd 2.63-2.67
Pd (0.5000, 0.5000, 0.1139)  4 Al 2.63, 4 Ti 2.82
Pd (0.5000, 0.5000, 0.3066)  8 Al 2.65-2.67
Pd (0.5000, 0.5000, 0.5000)  8 Al 2.65
Pd (0.5000, 0.5000, 0.6934)  8 Al 2.65-2.67
Pd (0.5000, 0.5000, 0.8861)  4 Al 2.63, 4 Ti 2.82

---

Below is a geometry-optimized Ti6AlPd12 structure, with properties calculated at the PBE-GGA level.

Values from the calculation:
ΔE_f   -0.51 eV per atom
Total moment   0.0 μB per formula unit

a b c (Å): 6.7114 6.7114 6.7114
angles (deg): 91.02 91.02 91.02
With the nearest neighbours (Å) after each atom.
Fractional positions:
Ti (0.2053, 0.3786, 0.7659)  8 Pd 2.63-2.85, 1 Al 2.81
Ti (0.2341, 0.7947, 0.6214)  8 Pd 2.63-2.85, 1 Al 2.81
Ti (0.3786, 0.7659, 0.2053)  8 Pd 2.63-2.85, 1 Al 2.81
Ti (0.6214, 0.2341, 0.7947)  8 Pd 2.63-2.85, 1 Al 2.81
Ti (0.7659, 0.2053, 0.3786)  8 Pd 2.63-2.85, 1 Al 2.81
Ti (0.7947, 0.6214, 0.2341)  8 Pd 2.63-2.85, 1 Al 2.81
Al (0.5000, 0.5000, 0.5000)  6 Pd 2.55, 6 Ti 2.81
Pd (0.0393, 0.9416, 0.2972)  4 Ti 2.63-2.73, 4 Pd 2.75-2.88
Pd (0.0584, 0.7028, 0.9607)  4 Ti 2.63-2.73, 4 Pd 2.75-2.88
Pd (0.1437, 0.4831, 0.3599)  1 Al 2.55, 4 Ti 2.66-2.85, 4 Pd 2.73-2.85
Pd (0.2972, 0.0393, 0.9416)  4 Ti 2.63-2.73, 4 Pd 2.75-2.88
Pd (0.3599, 0.1437, 0.4831)  1 Al 2.55, 4 Ti 2.66-2.85, 4 Pd 2.73-2.85
Pd (0.4831, 0.3599, 0.1437)  1 Al 2.55, 4 Ti 2.66-2.85, 4 Pd 2.73-2.85
Pd (0.5169, 0.6401, 0.8563)  1 Al 2.55, 4 Ti 2.66-2.85, 4 Pd 2.73-2.85
Pd (0.6401, 0.8563, 0.5169)  1 Al 2.55, 4 Ti 2.66-2.85, 4 Pd 2.73-2.85
Pd (0.7028, 0.9607, 0.0584)  4 Ti 2.63-2.73, 4 Pd 2.75-2.88
Pd (0.8563, 0.5169, 0.6401)  1 Al 2.55, 4 Ti 2.66-2.85, 4 Pd 2.73-2.85
Pd (0.9416, 0.2972, 0.0393)  4 Ti 2.63-2.73, 4 Pd 2.75-2.88
Pd (0.9607, 0.0584, 0.7028)  4 Ti 2.63-2.73, 4 Pd 2.75-2.88